Model A:
Crystalline BaRuSe2 at its relaxed geometry, computed with PBE.

Calculated volume   94.8 Å³/f.u.
Spin magnetization   2.00 Bohr magnetons per cell
Density of states at the Fermi level   2.319 states/eV/f.u.

POSCAR file:
```
BaRuSe2
1.0
2.6332 -2.2952 3.7415
1.1689 2.5818 4.2625
-2.3139 -1.1662 4.4143
Ru Se Ba
1 2 1
direct
0.0000 0.0000 0.0000
0.7500 0.7500 0.7500
0.2500 0.2500 0.2500
0.5000 0.5000 0.5000
```


Model B:
Crystalline BaRuSe2 at its relaxed geometry, computed with PBE.

Calculated volume   89.8 Å³/f.u.
Spin magnetization   1.13 Bohr magnetons per cell
Density of states at the Fermi level   5.288 states/eV/f.u.

POSCAR file:
```
BaRuSe2
1.0
3.4693 0.0000 0.0000
0.0000 3.4693 0.0000
0.0000 0.0000 7.4642
Se Ru Ba
2 1 1
direct
0.0000 0.0000 0.5550
0.0000 0.0000 0.9450
0.5000 0.5000 0.7500
0.5000 0.5000 0.2500
```


Winner for stability: model A


Model A:
Crystalline BaRuSe2 at its relaxed geometry, computed with PBE.

Calculated volume   116.7 Å³/f.u.
Spin magnetization   0.13 Bohr magnetons per cell
Density of states at the Fermi level   5.088 states/eV/f.u.

POSCAR file:
```
BaRuSe2
1.0
2.2925 0.0000 8.5431
-1.1463 1.9854 8.5431
-1.1463 -1.9854 8.5431
Se Ru Ba
2 1 1
direct
0.1225 0.1225 0.1225
0.8775 0.8775 0.8775
0.5000 0.5000 0.5000
0.0000 0.0000 0.0000
```


Model B:
Crystalline BaRuSe2 at its relaxed geometry, computed with PBE.

Calculated volume   97.4 Å³/f.u.
Spin magnetization   0.00 Bohr magnetons per cell
Density of states at the Fermi level   2.694 states/eV/f.u.

POSCAR file:
```
BaRuSe2
1.0
7.4189 0.0295 -0.0123
5.4975 4.9819 0.0123
-6.3761 -2.7172 2.6463
Ba Se Ru
1 2 1
direct
0.4518 0.4518 0.0000
0.7682 0.2682 0.5000
0.0798 0.0798 0.0000
0.2002 0.7002 0.5000
```


Model C:
Crystalline BaRuSe2 at its relaxed geometry, computed with PBE.

Calculated volume   105.1 Å³/f.u.
Spin magnetization   0.00 Bohr magnetons per cell
Density of states at the Fermi level   2.733 states/eV/f.u.

POSCAR file:
```
BaRuSe2
1.0
3.3617 0.0000 0.0000
0.0000 3.3617 0.0000
0.0000 0.0000 9.2960
Se Ba Ru
2 1 1
direct
0.5000 0.5000 0.2819
0.0000 0.0000 0.9017
0.0000 0.0000 0.5169
0.5000 0.5000 0.7994
```


Winner for stability: model B


Model A:
Crystalline BaRuSe at its relaxed geometry, computed with PBE.

Calculated volume   79.3 Å³/f.u.
Spin magnetization   1.96 Bohr magnetons per cell
Density of states at the Fermi level   3.359 states/eV/f.u.

POSCAR file:
```
BaRuSe
1.0
-3.3765 -3.4066 0.4988
-0.8176 -3.1268 -3.5790
1.2906 -4.6202 0.4928
Se Ba Ru
1 1 1
direct
0.0000 0.0000 0.0000
0.5000 0.5000 0.5000
0.7500 0.7500 0.7500
```


Model B:
Crystalline BaRuSe at its relaxed geometry, computed with PBE.

Calculated volume   72.0 Å³/f.u.
Spin magnetization   0.40 Bohr magnetons per cell
Density of states at the Fermi level   3.251 states/eV/f.u.

POSCAR file:
```
BaRuSe
1.0
6.2252 0.0156 0.0809
4.1836 4.6099 -0.0809
-5.2327 -2.2492 2.5141
Se Ru Ba
1 1 1
direct
0.7174 0.7174 0.0000
0.2847 0.2847 0.0000
0.9980 0.9980 0.0000
```


Winner for stability: model B